No. 1
Below is a relaxed structure of DyThSiAg, with properties calculated at the PBE-GGA level.

Summary:
space group	F-43m, No. 216
uncorrected formation energy	-315.3	meV/atom

a b c (Å): 5.1351 5.1351 5.1351
angles (deg): 60.00 60.00 60.00
Atoms (fractional coordinates):
Dy: 0.0000 0.0000 0.0000
Th: 0.5000 0.5000 0.5000
Si: 0.2500 0.2500 0.2500
Ag: 0.7500 0.7500 0.7500



No. 2
Below is a relaxed structure of DyYSiAg, with properties calculated at the PBE-GGA level.

Summary:
space group	F-43m, No. 216
uncorrected formation energy	-454.4	meV/atom

a b c (Å): 5.0503 5.0503 5.0503
angles (deg): 60.00 60.00 60.00
Atoms (fractional coordinates):
Dy: 0.0000 0.0000 0.0000
Y: 0.5000 0.5000 0.5000
Si: 0.7500 0.7500 0.7500
Ag: 0.2500 0.2500 0.2500



No. 3
Below is a relaxed structure of SmDy4Ag, with properties calculated at the PBE-GGA level.

Summary:
space group	P4/mmm, No. 123
formation energy	-79	meV per atom

a b c (Å): 3.5679 3.5679 13.9104
angles (deg): 90.00 90.00 90.00
Atoms (fractional coordinates):
Sm: 0.0000 0.0000 0.0000
Dy: 0.0000 0.0000 0.3635
Dy: 0.0000 0.0000 0.6365
Dy: 0.5000 0.5000 0.1819
Dy: 0.5000 0.5000 0.8181
Ag: 0.5000 0.5000 0.5000



No. 4
Below is a relaxed structure of SmDy2Ag, with properties calculated at the PBE-GGA level.

Summary:
space group	P4/mmm, No. 123
formation energy	-133	meV per atom

a b c (Å): 3.6097 3.6097 8.7557
angles (deg): 90.00 90.00 90.00
Atoms (fractional coordinates):
Sm: 0.0000 0.0000 0.0000
Dy: 0.5000 0.5000 0.2898
Dy: 0.5000 0.5000 0.7102
Ag: 0.0000 0.0000 0.5000



no.,density of states at the Fermi level (states/eV per cell)
1,3.93
2,3.33
3,7.69
4,4.93